Entry 1:
Crystalline NiHPd at its relaxed geometry, computed with PBE. Values from VASP.

```
&SYSTEM
  ibrav = 0, nat = 3, ntyp = 3
/
ATOMIC_SPECIES
Ni 58.69 Ni.upf
H 1.01 H.upf
Pd 106.42 Pd.upf
CELL_PARAMETERS angstrom
0.000 2.509 2.509
2.509 0.000 2.509
2.509 2.509 0.000
ATOMIC_POSITIONS crystal
Ni 0.000 0.000 0.000
H 0.250 0.250 0.250
Pd 0.500 0.500 0.500
```

Computed properties:
As for the space group: No. 216. Its total energy is -4.39 eV per atom.

Entry 2:
Crystalline La2Ni4As3Ir at its relaxed geometry, computed with PBE. Values from VASP.

```
&SYSTEM
  ibrav = 0, nat = 10, ntyp = 4
/
ATOMIC_SPECIES
La 138.91 La.upf
Ni 58.69 Ni.upf
As 74.92 As.upf
Ir 192.22 Ir.upf
CELL_PARAMETERS angstrom
4.153 0.000 0.000
0.000 4.153 0.000
0.000 0.000 9.962
ATOMIC_POSITIONS crystal
La 0.000 0.500 0.250
La 0.500 0.000 0.750
Ni 0.000 0.000 0.000
Ni 0.000 0.500 0.637
Ni 0.500 0.000 0.363
Ni 0.500 0.500 0.000
As 0.000 0.500 0.876
As 0.500 0.000 0.124
As 0.500 0.500 0.500
Ir 0.000 0.000 0.500
```

Computed properties:
As for the space group: No. 115. As for the energy relative to the elements: -669.0 kJ/mol of formula units. Its total energy is -6.27 eV per atom.

Entry 3:
Crystalline Pu2Si2Au3 at its relaxed geometry, computed with PBE. Values from VASP.

```
&SYSTEM
  ibrav = 0, nat = 7, ntyp = 3
/
ATOMIC_SPECIES
Pu 244.00 Pu.upf
Si 28.09 Si.upf
Au 196.97 Au.upf
CELL_PARAMETERS angstrom
5.365 -2.058 0.000
5.365 2.058 0.000
-1.067 0.000 6.398
ATOMIC_POSITIONS crystal
Pu 0.132 0.132 0.340
Pu 0.868 0.868 0.660
Si 0.417 0.417 0.343
Si 0.583 0.583 0.657
Au 0.191 0.191 0.855
Au 0.500 0.500 0.000
Au 0.809 0.809 0.145
```

Computed properties:
As for the space group: No. 12. Its total energy is -7.43 eV per atom. The value obtained for the formation energy (no corrections) is -2.69 eV per formula unit.

Entry 4:
Crystalline SrMo2Pt at its relaxed geometry, computed with PBE. Values from VASP.

```
&SYSTEM
  ibrav = 0, nat = 4, ntyp = 3
/
ATOMIC_SPECIES
Sr 87.62 Sr.upf
Mo 95.94 Mo.upf
Pt 195.08 Pt.upf
CELL_PARAMETERS angstrom
3.501 0.000 0.000
0.000 3.501 0.000
0.000 0.000 7.268
ATOMIC_POSITIONS crystal
Sr 0.000 0.000 0.000
Mo 0.500 0.500 0.342
Mo 0.500 0.500 0.658
Pt 0.000 0.000 0.500
```

Computed properties:
For the energy above the most stable polymorph in this dataset, the calculation gives 7.62 kcal/mol of atoms. As for the space group: No. 123. As for the energy relative to the elements: 208.6 kJ/mol of formula units. Its total energy is -6.81 eV per atom.

Entry 5:
Crystalline CoPb4Se2 at its relaxed geometry, computed with PBE. Values from VASP.

```
&SYSTEM
  ibrav = 0, nat = 7, ntyp = 3
/
ATOMIC_SPECIES
Co 58.93 Co.upf
Pb 207.20 Pb.upf
Se 78.96 Se.upf
CELL_PARAMETERS angstrom
-2.449 2.449 8.297
2.449 -2.449 8.297
2.449 2.449 -8.297
ATOMIC_POSITIONS crystal
Co 0.000 0.000 0.000
Pb 0.000 0.500 0.500
Pb 0.165 0.165 0.000
Pb 0.500 0.000 0.500
Pb 0.835 0.835 0.000
Se 0.348 0.348 0.000
Se 0.652 0.652 0.000
```

Computed properties:
As for the space group: No. 139. Its total energy is -4.17 eV per atom. The value obtained for the formation energy (no corrections) is -0.30 eV per formula unit.

Entry 6:
Crystalline LiTaCo2 at its relaxed geometry, computed with PBE. Values from VASP.

```
&SYSTEM
  ibrav = 0, nat = 4, ntyp = 3
/
ATOMIC_SPECIES
Li 6.94 Li.upf
Ta 180.95 Ta.upf
Co 58.93 Co.upf
CELL_PARAMETERS angstrom
1.610 -2.160 0.000
1.610 2.160 0.000
0.000 0.000 7.911
ATOMIC_POSITIONS crystal
Li 0.000 0.000 0.000
Ta 0.000 0.000 0.500
Co 0.500 0.500 0.250
Co 0.500 0.500 0.750
```

Computed properties:
As for the space group: No. 65. As for the energy relative to the elements: 72.8 kJ/mol of formula units. Its total energy is -6.81 eV per atom.

Entry 7:
Crystalline CeTm3Sc7 at its relaxed geometry, computed with PBE. Values from VASP.

```
&SYSTEM
  ibrav = 0, nat = 11, ntyp = 3
/
ATOMIC_SPECIES
Ce 140.12 Ce.upf
Tm 168.93 Tm.upf
Sc 44.96 Sc.upf
CELL_PARAMETERS angstrom
-2.692 5.248 5.319
2.692 -5.248 5.319
2.692 5.248 -5.319
ATOMIC_POSITIONS crystal
Ce 0.000 0.000 0.000
Tm 0.294 0.500 0.794
Tm 0.500 0.000 0.500
Tm 0.706 0.500 0.206
Sc 0.000 0.500 0.500
Sc 0.092 0.784 0.308
Sc 0.287 0.287 0.000
Sc 0.476 0.784 0.692
Sc 0.524 0.216 0.308
Sc 0.713 0.713 0.000
Sc 0.908 0.216 0.692
```

Computed properties:
As for the space group: No. 71. As for the energy relative to the elements: 317.7 kJ/mol of formula units. Its total energy is -5.49 eV per atom.

Entry 8:
Crystalline KNi2Cl at its relaxed geometry, computed with PBE. Values from VASP.

```
&SYSTEM
  ibrav = 0, nat = 4, ntyp = 3
/
ATOMIC_SPECIES
K 39.10 K.upf
Ni 58.69 Ni.upf
Cl 35.45 Cl.upf
CELL_PARAMETERS angstrom
3.174 0.000 0.000
0.000 1.677 7.277
0.000 -1.677 7.277
ATOMIC_POSITIONS crystal
K 0.000 0.000 0.000
Ni 0.000 0.767 0.767
Ni 0.500 0.323 0.323
Cl 0.500 0.635 0.635
```

Computed properties:
For the energy above the most stable polymorph in this dataset, the calculation gives 0.00 kcal/mol of atoms. As for the space group: No. 38. Its total energy is -3.65 eV per atom. The value obtained for the formation energy (no corrections) is -0.10 eV per formula unit.